Entry from the Alexandria database: a relaxed UCrO4 crystal (PBE+U).

Output
theoretical density: 7.57 g/cm³
excess energy over the best structure of this formula in the dataset: 0.30 eV per formula unit
E: -9.095 eV/atom

a b c (Å): 5.752 4.957 5.918
angles (deg): 90.00 112.95 90.00
Sites, in units of the cell vectors:
U 0.000 0.000 0.000
U 0.000 0.500 0.500
Cr 0.500 0.000 0.500
Cr 0.500 0.500 0.000
O 0.163 0.173 0.365
O 0.163 0.327 0.865
O 0.353 0.698 0.661
O 0.353 0.802 0.161
O 0.647 0.198 0.839
O 0.647 0.302 0.339
O 0.837 0.673 0.135
O 0.837 0.827 0.635